{
  "formula": "ErPa4O10",
  "functional": "PBE",
  "state": "optimized geometry",
  "lattice": [[3.8324, 0.0000, 0.4709], [1.8872, 3.3355, 0.4709], [0.0121, 0.0071, 15.7310]],
  "species": ["O", "O", "O", "O", "O", "O", "O", "O", "O", "O", "Er", "Pa", "Pa", "Pa", "Pa"],
  "frac_coords": [[0.9495, 0.9495, 0.1516], [0.8503, 0.8503, 0.4490], [0.0505, 0.0505, 0.8484], [0.1497, 0.1497, 0.5510], [0.5505, 0.5505, 0.3485], [0.6486, 0.6486, 0.0542], [0.3514, 0.3514, 0.9458], [0.4495, 0.4495, 0.6515], [0.2508, 0.2508, 0.2475], [0.7492, 0.7492, 0.7525], [0.0000, 0.0000, 0.0000], [0.3980, 0.3980, 0.8060], [0.7996, 0.7996, 0.6012], [0.6020, 0.6020, 0.1940], [0.2004, 0.2004, 0.3988]],
  "total_energy_ev_per_cell": -146.6,
  "sg": "No. 166"
}

{
  "formula": "ErPaO4",
  "functional": "PBE",
  "state": "optimized geometry",
  "lattice": [[-0.4609, 3.3582, -1.7097], [1.4243, -1.4394, -3.2113], [-4.9232, -1.4553, -1.5313]],
  "species": ["O", "O", "O", "O", "Pa", "Er"],
  "frac_coords": [[0.0000, 0.5000, 0.2576], [0.5000, 0.0000, 0.2576], [0.5000, 0.0000, 0.7424], [0.0000, 0.5000, 0.7424], [0.5000, 0.5000, 0.5000], [0.0000, 0.0000, 0.0000]],
  "total_energy_ev_per_cell": -56.3,
  "sg": "No. 123"
}

{
  "formula": "ErPaO6",
  "functional": "PBE",
  "state": "optimized geometry",
  "lattice": [[5.9690, 0.0000, 0.0000], [2.9845, 5.1693, 0.0000], [2.9845, 1.7231, 4.8737]],
  "species": ["O", "O", "O", "O", "O", "O", "Er", "Pa"],
  "frac_coords": [[0.2616, 0.7384, 0.7384], [0.7384, 0.7384, 0.2616], [0.2616, 0.2616, 0.7384], [0.7384, 0.2616, 0.2616], [0.2616, 0.7384, 0.2616], [0.7384, 0.2616, 0.7384], [0.0000, 0.0000, 0.0000], [0.5000, 0.5000, 0.5000]],
  "total_energy_ev_per_cell": -60.3,
  "sg": "No. 225"
}